## Dy2Er4LuTe2Ir2 (PBE)

Data for a relaxed structure of Dy2Er4LuTe2Ir2.

Calculated values
Magnetic moment = 0.0 μB per cell
ρ = 10.4 g/cm3
Total energy = -6.005 eV per atom

Cell: 9.337 9.337 9.337 Å, 155.79 66.30 119.33°
Element x y z (fractional)
Er: 0.397 0.265 0.132
Dy: 0.768 0.414 0.354
Er: 0.133 0.265 0.868
Lu: 0.682 0.682 0.000
Te: 0.418 0.918 0.500
Er: 0.739 0.055 0.684
Ir: 0.516 0.754 0.762
Dy: 0.060 0.414 0.646
Te: 0.019 0.019 0.000
Er: 0.370 0.055 0.316
Ir: 0.992 0.754 0.238